A | Here is a geometry-optimized AlGaCoO4 structure from OQMD via LeMat-Bulk. Energies are from PBE+U.

Cell and atoms, written as CIF:
```
data_AlGaCoO4
_space_group_name_H-M_alt 'P 1'
_space_group_IT_number 1
_cell_length_a 5.8334
_cell_length_b 5.8334
_cell_length_c 8.2199
_cell_angle_alpha 90.00
_cell_angle_beta 90.00
_cell_angle_gamma 90.00
loop_
_space_group_symop_operation_xyz
'x,y,z'
loop_
_atom_site_label
_atom_site_fract_x
_atom_site_fract_y
_atom_site_fract_z
Al1 0.5000 0.2561 0.0000
Al2 0.7439 0.5000 0.2500
Al3 0.5000 0.7439 0.5000
Al4 0.2561 0.5000 0.7500
Co1 0.2500 0.7500 0.1250
Co2 0.2500 0.2500 0.3750
Co3 0.7500 0.2500 0.6250
Co4 0.7500 0.7500 0.8750
Ga1 0.0000 0.2559 0.0000
Ga2 0.7441 0.0000 0.2500
Ga3 0.0000 0.7441 0.5000
Ga4 0.2559 0.0000 0.7500
O1 0.7410 0.0312 0.0076
O2 0.7409 0.4793 0.0172
O3 0.5208 0.2591 0.2328
O4 0.9688 0.2590 0.2424
O5 0.9688 0.7410 0.2576
O6 0.5208 0.7409 0.2672
O7 0.7409 0.5208 0.4828
O8 0.7410 0.9688 0.4924
O9 0.2590 0.9688 0.5076
O10 0.2591 0.5208 0.5172
O11 0.4793 0.7409 0.7328
O12 0.0312 0.7410 0.7424
O13 0.0312 0.2590 0.7576
O14 0.4793 0.2591 0.7672
O15 0.2591 0.4793 0.9828
O16 0.2590 0.0312 0.9924
```

Output
- space-group type = P4_122


B | Here is a geometry-optimized AlGaCoO4 structure from OQMD via LeMat-Bulk. Energies are from PBE+U.

Cell and atoms, written as CIF:
```
data_AlGaCoO4
_space_group_name_H-M_alt 'P 1'
_space_group_IT_number 1
_cell_length_a 5.8256
_cell_length_b 5.8256
_cell_length_c 8.1682
_cell_angle_alpha 90.00
_cell_angle_beta 90.00
_cell_angle_gamma 90.00
loop_
_space_group_symop_operation_xyz
'x,y,z'
loop_
_atom_site_label
_atom_site_fract_x
_atom_site_fract_y
_atom_site_fract_z
Al1 0.2433 0.7567 0.1250
Al2 0.2433 0.2433 0.3750
Al3 0.7567 0.2433 0.6250
Al4 0.7567 0.7567 0.8750
Co1 0.5000 0.2589 0.0000
Co2 0.7411 0.5000 0.2500
Co3 0.5000 0.7411 0.5000
Co4 0.2589 0.5000 0.7500
Ga1 0.0000 0.2583 0.0000
Ga2 0.7417 0.0000 0.2500
Ga3 0.0000 0.7417 0.5000
Ga4 0.2583 0.0000 0.7500
O1 0.2381 0.5000 0.0041
O2 0.7607 0.0072 0.0066
O3 0.9928 0.2393 0.2434
O4 0.5000 0.7619 0.2459
O5 0.5000 0.2381 0.2541
O6 0.9928 0.7607 0.2566
O7 0.7607 0.9928 0.4934
O8 0.2381 0.5000 0.4959
O9 0.7619 0.5000 0.5041
O10 0.2393 0.9928 0.5066
O11 0.0072 0.7607 0.7434
O12 0.5000 0.2381 0.7459
O13 0.5000 0.7619 0.7541
O14 0.0072 0.2393 0.7566
O15 0.2393 0.0072 0.9934
O16 0.7619 0.5000 0.9959
```

Output
- space-group type = P4_122


C | Here is a geometry-optimized AlGaCoO4 structure from OQMD via LeMat-Bulk. Energies are from PBE+U.

Cell and atoms, written as CIF:
```
data_AlGaCoO4
_space_group_name_H-M_alt 'P 1'
_space_group_IT_number 1
_cell_length_a 5.8235
_cell_length_b 5.8235
_cell_length_c 8.1175
_cell_angle_alpha 90.00
_cell_angle_beta 90.00
_cell_angle_gamma 90.00
loop_
_space_group_symop_operation_xyz
'x,y,z'
loop_
_atom_site_label
_atom_site_fract_x
_atom_site_fract_y
_atom_site_fract_z
Al1 0.0000 0.2517 0.0000
Al2 0.7483 0.0000 0.2500
Al3 0.0000 0.7483 0.5000
Al4 0.2517 0.0000 0.7500
Co1 0.5000 0.2539 0.0000
Co2 0.7461 0.5000 0.2500
Co3 0.5000 0.7461 0.5000
Co4 0.2539 0.5000 0.7500
Ga1 0.2436 0.7564 0.1250
Ga2 0.2436 0.2436 0.3750
Ga3 0.7564 0.2436 0.6250
Ga4 0.7564 0.7564 0.8750
O1 0.2302 0.4834 0.0045
O2 0.7683 0.0147 0.0155
O3 0.9853 0.2317 0.2345
O4 0.5166 0.7698 0.2455
O5 0.5166 0.2302 0.2545
O6 0.9853 0.7683 0.2655
O7 0.7683 0.9853 0.4845
O8 0.2302 0.5166 0.4955
O9 0.7698 0.5166 0.5045
O10 0.2317 0.9853 0.5155
O11 0.0147 0.7683 0.7345
O12 0.4834 0.2302 0.7455
O13 0.4834 0.7698 0.7545
O14 0.0147 0.2317 0.7655
O15 0.2317 0.0147 0.9845
O16 0.7698 0.4834 0.9955
```

Output
- space-group type = P4_122


Here are the energies relative to the best structure, in meV per atom: A 6; B 67; C 0.